[1]
First-principles (PBE) data for a relaxed structure of V3IrCl, as listed in Alexandria.

Results
Total moment in μB/atom: 0.01
V in Å³ per atom: 14.73
Raw formation energy in eV/atom: 0.49
Relative energy among the computed polymorphs in eV/atom: 0.000
Density in g/cm3: 8.6

a = 4.192 Å, b = 4.192 Å, c = 4.192 Å
α = 90.00°, β = 90.00°, γ = 90.00°
Fractional coordinates of all 5 atoms:
V  0.000  0.000  0.500
V  0.000  0.500  0.000
V  0.500  0.000  0.000
Ir  0.500  0.500  0.500
Cl  0.000  0.000  0.000

=====

[2]
First-principles (PBE) data for a relaxed structure of V3IrCl, as listed in Alexandria.

Results
Total moment in μB/atom: 1.35
V in Å³ per atom: 22.16
Raw formation energy in eV/atom: 0.91
Relative energy among the computed polymorphs in eV/atom: 0.421
Density in g/cm3: 5.7

a = 4.803 Å, b = 4.803 Å, c = 4.803 Å
α = 90.00°, β = 90.00°, γ = 90.00°
Fractional coordinates of all 5 atoms:
V  0.000  0.000  0.500
V  0.000  0.500  0.000
V  0.500  0.000  0.000
Ir  0.000  0.000  0.000
Cl  0.500  0.500  0.500

=====

[3]
First-principles (PBE) data for a relaxed structure of VIrCl2, as listed in Alexandria.

Results
Total moment in μB/atom: 0.50
V in Å³ per atom: 17.21
Raw formation energy in eV/atom: 0.29
Relative energy among the computed polymorphs in eV/atom: 0.294
Density in g/cm3: 7.6

a = 8.205 Å, b = 8.205 Å, c = 8.205 Å
α = 150.01°, β = 150.01°, γ = 42.93°
Fractional coordinates of all 8 atoms:
V  0.000  0.000  0.000
V  0.750  0.250  0.500
Ir  0.250  0.750  0.500
Ir  0.500  0.500  0.000
Cl  0.122  0.625  0.997
Cl  0.375  0.372  0.497
Cl  0.628  0.125  0.003
Cl  0.875  0.878  0.503

=====

[4]
First-principles (PBE) data for a relaxed structure of V2IrCl, as listed in Alexandria.

Results
Total moment in μB/atom: 0.00
V in Å³ per atom: 16.19
Raw formation energy in eV/atom: 0.30
Relative energy among the computed polymorphs in eV/atom: 0.000
Density in g/cm3: 8.4

a = 5.524 Å, b = 5.524 Å, c = 5.524 Å
α = 110.99°, β = 110.99°, γ = 106.48°
Fractional coordinates of all 8 atoms:
V  0.108  0.625  0.983
V  0.375  0.358  0.483
V  0.642  0.125  0.017
V  0.875  0.892  0.517
Ir  0.250  0.750  0.500
Ir  0.500  0.500  0.000
Cl  0.000  0.000  0.000
Cl  0.750  0.250  0.500

=====

[5]
First-principles (PBE) data for a relaxed structure of Ir2WCl, as listed in Alexandria.

Results
Total moment in μB/atom: 0.00
V in Å³ per atom: 21.29
Raw formation energy in eV/atom: 0.80
Relative energy among the computed polymorphs in eV/atom: 0.599
Density in g/cm3: 11.8

a = 6.249 Å, b = 6.249 Å, c = 6.249 Å
α = 120.83°, β = 120.83°, γ = 88.56°
Fractional coordinates of all 8 atoms:
Ir  0.115  0.625  0.990
Ir  0.375  0.365  0.490
Ir  0.635  0.125  0.010
Ir  0.875  0.885  0.510
W  0.000  0.000  0.000
W  0.750  0.250  0.500
Cl  0.250  0.750  0.500
Cl  0.500  0.500  0.000

=====

[6]
First-principles (PBE) data for a relaxed structure of IrW2Cl, as listed in Alexandria.

Results
Total moment in μB/atom: 0.00
V in Å³ per atom: 15.51
Raw formation energy in eV/atom: 0.71
Relative energy among the computed polymorphs in eV/atom: 0.499
Density in g/cm3: 15.9

a = 4.444 Å, b = 4.444 Å, c = 4.444 Å
α = 60.00°, β = 60.00°, γ = 60.00°
Fractional coordinates of all 4 atoms:
Ir  0.000  0.000  0.000
W  0.250  0.250  0.250
W  0.750  0.750  0.750
Cl  0.500  0.500  0.500

=====

What is the density in the fifth record? 11.8 g/cm3

=====

Which value of density does entry 6 give? 15.9 g/cm3

=====

Copy entry 3 word for word.
First-principles (PBE) data for a relaxed structure of VIrCl2, as listed in Alexandria.

Results
Total moment in μB/atom: 0.50
V in Å³ per atom: 17.21
Raw formation energy in eV/atom: 0.29
Relative energy among the computed polymorphs in eV/atom: 0.294
Density in g/cm3: 7.6

a = 8.205 Å, b = 8.205 Å, c = 8.205 Å
α = 150.01°, β = 150.01°, γ = 42.93°
Fractional coordinates of all 8 atoms:
V  0.000  0.000  0.000
V  0.750  0.250  0.500
Ir  0.250  0.750  0.500
Ir  0.500  0.500  0.000
Cl  0.122  0.625  0.997
Cl  0.375  0.372  0.497
Cl  0.628  0.125  0.003
Cl  0.875  0.878  0.503